La2TlSb after structural relaxation, computed with GGA-PBEsol.

As for the formation energy (no corrections): -0.795 eV per atom. The total energy is -21.1 eV/f.u.

The space group is P4/mmm (No. 123) and the conventional cell measures 4.067, 4.067 and 7.107 Å, with angles of 90.00, 90.00 and 90.00 degrees. Symmetry generates all atoms from La at (0.000, 0.000, 0.238), Tl at (0.500, 0.500, 0.500) and Sb at (0.500, 0.500, 0.000).

=====

LaTl2Sb after structural relaxation, computed with GGA-PBEsol.

As for the formation energy (no corrections): -0.446 eV per atom. The total energy is -16.9 eV/f.u.

The space group is P4mm (No. 99) and the conventional cell measures 4.148, 4.148 and 6.716 Å, with angles of 90.00, 90.00 and 90.00 degrees. Symmetry generates all atoms from La at (0.000, 0.000, 0.000), Tl at (0.000, 0.000, 0.482), Tl at (0.500, 0.500, 0.707) and Sb at (0.500, 0.500, 0.211).

=====

| no. | magnetic moment (μB/atom) |
| --- | --- |
| 1 | 0.000 |
| 2 | 0.000 |